Density functional theory data (PBE) for crystalline CsNbSb2Te at its relaxed geometry.

Cell: 5.508 5.508 5.601 Å, 90.00 90.00 90.00°
Fractional coordinates of all 5 atoms:
Cs 0.500 0.500 0.500
Sb 0.000 0.500 0.000
Sb 0.500 0.000 0.000
Nb 0.000 0.000 0.000
Te 0.000 0.000 0.500

Energy above the most stable polymorph in this dataset: 0.000 eV/atom
Energy relative to the elements, uncorrected: -0.14 eV per atom